No. 1
! RbSbH (PBE, optimized geometry); values from VASP
&SYSTEM
  ibrav = 0, nat = 3, ntyp = 3
/
ATOMIC_SPECIES
Rb 85.47 Rb.upf
Sb 121.76 Sb.upf
H 1.01 H.upf
CELL_PARAMETERS angstrom
3.4979 0.0000 0.0000
0.0000 5.3148 0.0000
0.0000 0.0000 4.5164
ATOMIC_POSITIONS angstrom
Rb 0.0000 0.0000 0.0000
Sb 1.7489 2.6574 2.2029
H 1.7489 2.6574 3.9754
! **Calculated total energy**: -8.791 eV for the cell shown
! **Space-group type**: Pmm2, No. 25
! **Energy above the most stable polymorph in this dataset**: 147 meV per atom
! **DOS at the Fermi energy**: 1.4 states/eV per cell



No. 2
! RbSbH2 (PBE, optimized geometry); values from VASP
&SYSTEM
  ibrav = 0, nat = 8, ntyp = 3
/
ATOMIC_SPECIES
Rb 85.47 Rb.upf
Sb 121.76 Sb.upf
H 1.01 H.upf
CELL_PARAMETERS angstrom
5.9032 0.0000 0.0000
0.0000 7.9052 0.0000
0.0000 0.0000 4.8969
ATOMIC_POSITIONS angstrom
Rb 0.0000 0.0000 0.0000
Rb 2.9516 3.9526 2.4484
Sb 0.0000 3.9526 4.8950
Sb 2.9516 0.0000 2.4466
H 0.0000 2.7357 1.2595
H 0.0000 5.1696 1.2595
H 2.9516 1.2169 3.7080
H 2.9516 6.6883 3.7080
! **Calculated total energy**: -24.363 eV for the cell shown
! **Space-group type**: Imm2, No. 44
! **Energy above the most stable polymorph in this dataset**: 0 meV per atom
! **DOS at the Fermi energy**: 0.0 states/eV per cell